i | VASP calculation (PBE) on a relaxed structure of RbMg2Ni.

a = 6.822 Å, b = 6.822 Å, c = 13.408 Å
α = 90.00°, β = 90.00°, γ = 90.00°
Space group I-42d (No. 122)
Unique sites:
Rb (0.000, 0.000, 0.000) [4 per cell]
Mg (0.002, 0.750, 0.625) [8 per cell]
Ni (0.000, 0.000, 0.500) [4 per cell]

Calculated values
V: 39.00 Å³ per atom

ii | VASP calculation (PBE) on a relaxed structure of RbMg2Ni.

a = 7.365 Å, b = 7.365 Å, c = 7.365 Å
α = 90.00°, β = 90.00°, γ = 90.00°
Space group Fm-3m (No. 225)
Unique sites:
Rb (0.000, 0.000, 0.000) [4 per cell]
Mg (0.250, 0.250, 0.250) [8 per cell]
Ni (0.000, 0.000, 0.500) [4 per cell]

Calculated values
V: 24.97 Å³ per atom

Tell me which of them is the least stable. Sure, it is ii.